The following is a DFT calculation (PBE-GGA) of crystalline SiAgBr2 at its relaxed geometry.

## Properties
As for the magnetization: 0.00 μB per cell. Its uncorrected formation energy is 0.142 eV per atom. Its total energy is -2.763 eV/atom.

Cell lengths 3.686, 3.686, 9.248 Å; angles 90.00, 90.00, 122.24 degrees
Fractional positions:
1 Si 0.000 0.000 0.000
2 Ag 0.500 0.500 0.807
3 Br 0.000 0.000 0.596
4 Br 0.500 0.500 0.210